Ni2PdSe6 | PBE-GGA | relaxed

Output
Excess energy over the best structure of this formula in the dataset (meV per atom): 196
Symmetry: P4_2/mnm, No. 136

Cell: 5.6444 5.6444 11.4151 Å, 90.00 90.00 90.00°
With the nearest neighbours (Å) after each atom.
Fractional positions:
Ni 0.5000 0.5000 0.3334  6 Se 2.39-2.42
Ni 0.5000 0.5000 0.6666  6 Se 2.39-2.42
Ni 0.0000 0.0000 0.1666  6 Se 2.39-2.42
Ni 0.0000 0.0000 0.8334  6 Se 2.39-2.42
Pd 0.5000 0.5000 0.0000  6 Se 2.55
Pd 0.0000 0.0000 0.5000  6 Se 2.55
Se 0.6967 0.6967 0.1755  2 Ni 2.39-2.42, 1 Pd 2.55
Se 0.6967 0.6967 0.8245  2 Ni 2.39-2.42, 1 Pd 2.55
Se 0.6806 0.6806 0.5000  2 Ni 2.39, 1 Pd 2.55
Se 0.8194 0.1806 0.0000  2 Ni 2.39, 1 Pd 2.55
Se 0.8033 0.1967 0.3245  2 Ni 2.39-2.42, 1 Pd 2.55
Se 0.8033 0.1967 0.6755  2 Ni 2.39-2.42, 1 Pd 2.55
Se 0.1967 0.8033 0.3245  2 Ni 2.39-2.42, 1 Pd 2.55
Se 0.1967 0.8033 0.6755  2 Ni 2.39-2.42, 1 Pd 2.55
Se 0.1806 0.8194 0.0000  2 Ni 2.39, 1 Pd 2.55
Se 0.3194 0.3194 0.5000  2 Ni 2.39, 1 Pd 2.55
Se 0.3033 0.3033 0.1755  2 Ni 2.39-2.42, 1 Pd 2.55
Se 0.3033 0.3033 0.8245  2 Ni 2.39-2.42, 1 Pd 2.55

CsPdS2N | PBE-GGA | relaxed

Output
Symmetry: P4/mmm, No. 123

Cell: 5.4070 5.4070 3.7799 Å, 90.00 90.00 90.00°
With the nearest neighbours (Å) after each atom.
Fractional positions:
Cs 0.5000 0.5000 0.5000  8 S 3.30
S 0.0000 0.5000 0.0000  2 Pd 2.70
S 0.5000 0.0000 0.0000  2 Pd 2.70
Pd 0.0000 0.0000 0.0000  2 N 1.89
N 0.0000 0.0000 0.5000  2 Pd 1.89

Record order is preserved below.
Formation energy (no corrections): -52, 562 meV per atom
Record order is preserved below.
Calculated volume: 363.7, 110.5 Å³/cell
Record order is preserved below.
Raw total energy: -4.237, -3.964 eV per atom